A relaxed structure of NbBiMo2, computed with PBE.

E_form (eV/atom): 0.919
Total energy (eV/atom): -7.98
N(E_F) (states/eV per atom): 0.791

The structure in extended XYZ format:
```
8
Lattice="-2.2775 -2.9977 -1.5673 2.4828 -2.7646 1.6799 -5.4666 -2.9200 8.2235" Properties=species:S:1:pos:R:3 pbc="T T T"
Mo -2.3595 -2.7910 1.3690
Mo -0.2198 -2.9908 2.8272
Mo -3.8920 -4.4968 6.2985
Mo -4.0513 -7.0862 6.1775
Bi 0.0000 0.0000 0.0000
Bi -3.8207 -4.3994 3.3563
Nb 0.1027 -2.8812 0.0563
Nb -1.4406 -4.2829 4.9799
```